Entry 1:
# Ba2HfTa

An optimized crystal structure of Ba2HfTa (GGA-PBE, OQMD via LeMat-Bulk).

Unit cell a=5.539 b=5.539 c=5.539 alpha=60.00 beta=60.00 gamma=60.00
Atoms (fractional coordinates):
Ba 0.000 0.000 0.000
Ba 0.250 0.250 0.250
Hf 0.750 0.750 0.750
Ta 0.500 0.500 0.500

Calculated values
V = 120.1 Å³/cell
total magnetization = 0.137 μB per atom
space-group type = F-43m, No. 216
E = -5.25 eV per atom



Entry 2:
# BaHfTa2

An optimized crystal structure of BaHfTa2 (GGA-PBE, OQMD via LeMat-Bulk).

Unit cell a=5.053 b=5.053 c=5.053 alpha=60.00 beta=60.00 gamma=60.00
Atoms (fractional coordinates):
Ba 0.000 0.000 0.000
Hf 0.250 0.250 0.250
Ta 0.500 0.500 0.500
Ta 0.750 0.750 0.750

Calculated values
V = 91.2 Å³/cell
total magnetization = 0.001 μB per atom
space-group type = F-43m, No. 216
E = -7.85 eV per atom



Entry 3:
# BaHfTc

An optimized crystal structure of BaHfTc (GGA-PBE, OQMD via LeMat-Bulk).

Unit cell a=4.847 b=4.847 c=4.847 alpha=60.00 beta=60.00 gamma=60.00
Atoms (fractional coordinates):
Ba 0.000 0.000 0.000
Hf 0.500 0.500 0.500
Tc 0.250 0.250 0.250

Calculated values
V = 80.5 Å³/cell
E above lowest polymorph = 0.000 eV/f.u.
total magnetization = 0.001 μB per atom
space-group type = F-43m, No. 216
E = -6.56 eV per atom



Entry 4:
# Ba2HfTc

An optimized crystal structure of Ba2HfTc (GGA-PBE, OQMD via LeMat-Bulk).

Unit cell a=5.391 b=5.391 c=5.391 alpha=60.00 beta=60.00 gamma=60.00
Atoms (fractional coordinates):
Ba 0.000 0.000 0.000
Ba 0.250 0.250 0.250
Hf 0.750 0.750 0.750
Tc 0.500 0.500 0.500

Calculated values
V = 110.8 Å³/cell
total magnetization = 0.002 μB per atom
space-group type = F-43m, No. 216
E = -5.05 eV per atom



Q: Number 2 is which compound?
A: BaHfTa2



What did the first record say?
# Ba2HfTa

An optimized crystal structure of Ba2HfTa (GGA-PBE, OQMD via LeMat-Bulk).

Unit cell a=5.539 b=5.539 c=5.539 alpha=60.00 beta=60.00 gamma=60.00
Atoms (fractional coordinates):
Ba 0.000 0.000 0.000
Ba 0.250 0.250 0.250
Hf 0.750 0.750 0.750
Ta 0.500 0.500 0.500

Calculated values
V = 120.1 Å³/cell
total magnetization = 0.137 μB per atom
space-group type = F-43m, No. 216
E = -5.25 eV per atom



Q: Which value of V does entry 2 give?
A: 91.2 Å³/cell



Q: total magnetization of number 4 (Ba2HfTc)?
A: 0.002 μB per atom